# 1
{"formula": "Np3TeO3", "functional": "PBE", "state": "relaxed", "mass_density_g_cm3": 10.58, "e_form_raw_ev_per_atom": -2.072, "dos_at_fermi_per_ev_atom": 3.311, "final_energy_ev_per_atom": -10.1916, "crystal_system": "monoclinic", "space_group": "No. 11", "cell": [[8.6821, 0.0000, 0.0000], [0.0000, 3.8554, 0.0000], [-3.1012, 0.0000, 8.3154]], "species": ["Np", "Np", "Np", "Np", "Np", "Np", "Te", "Te", "O", "O", "O", "O", "O", "O"], "fractional_positions": [[0.0522, 0.2500, 0.1937], [0.2927, 0.7500, 0.5661], [0.3314, 0.2500, 0.9390], [0.6686, 0.7500, 0.0610], [0.7073, 0.2500, 0.4339], [0.9478, 0.7500, 0.8063], [0.3984, 0.7500, 0.2463], [0.6016, 0.2500, 0.7537], [0.0722, 0.2500, 0.9273], [0.1721, 0.2500, 0.4629], [0.2133, 0.7500, 0.7843], [0.7867, 0.2500, 0.2157], [0.8279, 0.7500, 0.5371], [0.9278, 0.7500, 0.0727]]}

---

# 2
{"formula": "NpTlTeO5", "functional": "PBE", "state": "relaxed", "mass_density_g_cm3": 7.40, "e_form_raw_ev_per_atom": -1.726, "dos_at_fermi_per_ev_atom": 0.566, "final_energy_ev_per_atom": -7.1308, "crystal_system": "monoclinic", "space_group": "No. 15", "cell": [[3.7724, -4.9761, 0.0000], [3.7724, 4.9761, 0.0000], [-2.3494, 0.0000, 7.7574]], "species": ["Np", "Np", "Tl", "Tl", "Te", "Te", "O", "O", "O", "O", "O", "O", "O", "O", "O", "O"], "fractional_positions": [[0.0000, 0.0000, 0.0000], [0.0000, 0.0000, 0.5000], [0.3200, 0.6800, 0.7500], [0.6800, 0.3200, 0.2500], [0.3380, 0.6620, 0.2500], [0.6620, 0.3380, 0.7500], [0.0651, 0.9349, 0.7500], [0.1110, 0.6829, 0.3764], [0.1679, 0.3383, 0.0483], [0.3171, 0.8890, 0.1236], [0.3383, 0.1679, 0.5483], [0.6617, 0.8321, 0.4517], [0.6829, 0.1110, 0.8764], [0.8321, 0.6617, 0.9517], [0.8890, 0.3171, 0.6236], [0.9349, 0.0651, 0.2500]]}

---

# 3
{"formula": "Np2TlTeO8", "functional": "PBE", "state": "relaxed", "mass_density_g_cm3": 8.21, "e_form_raw_ev_per_atom": -1.957, "dos_at_fermi_per_ev_atom": 0.692, "final_energy_ev_per_atom": -7.8785, "crystal_system": "orthorhombic", "space_group": "No. 65", "cell": [[3.6123, -3.7094, 0.0000], [3.6123, 3.7094, 0.0000], [0.0000, 0.0000, 7.0514]], "species": ["Np", "Np", "Tl", "Te", "O", "O", "O", "O", "O", "O", "O", "O"], "fractional_positions": [[0.0000, 0.0000, 0.2468], [0.0000, 0.0000, 0.7532], [0.5000, 0.5000, 0.5000], [0.5000, 0.5000, 0.0000], [0.1638, 0.8362, 0.5000], [0.1958, 0.8042, 0.0000], [0.2819, 0.2819, 0.2125], [0.2819, 0.2819, 0.7875], [0.7181, 0.7181, 0.2125], [0.7181, 0.7181, 0.7875], [0.8042, 0.1958, 0.0000], [0.8362, 0.1638, 0.5000]]}

---

# 4
{"formula": "Np3Tl2TeO12", "functional": "PBE", "state": "relaxed", "mass_density_g_cm3": 6.91, "e_form_raw_ev_per_atom": -2.117, "dos_at_fermi_per_ev_atom": 0.281, "final_energy_ev_per_atom": -8.0167, "crystal_system": "trigonal", "space_group": "No. 166", "cell": [[3.9732, 2.2939, 6.3260], [-3.9732, 2.2939, 6.3260], [0.0000, -4.5878, 6.3260]], "species": ["Np", "Np", "Np", "Tl", "Tl", "Te", "O", "O", "O", "O", "O", "O", "O", "O", "O", "O", "O", "O"], "fractional_positions": [[0.0000, 0.5000, 0.5000], [0.5000, 0.0000, 0.5000], [0.5000, 0.5000, 0.0000], [0.1701, 0.1701, 0.1701], [0.8299, 0.8299, 0.8299], [0.5000, 0.5000, 0.5000], [0.1779, 0.5661, 0.5661], [0.1878, 0.1878, 0.5564], [0.1878, 0.5564, 0.1878], [0.4339, 0.4339, 0.8221], [0.4339, 0.8221, 0.4339], [0.4436, 0.8122, 0.8122], [0.5564, 0.1878, 0.1878], [0.5661, 0.1779, 0.5661], [0.5661, 0.5661, 0.1779], [0.8122, 0.4436, 0.8122], [0.8122, 0.8122, 0.4436], [0.8221, 0.4339, 0.4339]]}

---

# 5
{"formula": "TmNpTe2O", "functional": "PBE", "state": "relaxed", "mass_density_g_cm3": 8.58, "e_form_raw_ev_per_atom": -1.730, "dos_at_fermi_per_ev_atom": 1.233, "final_energy_ev_per_atom": -7.4604, "crystal_system": "tetragonal", "space_group": "No. 129", "cell": [[4.1444, 0.0000, 0.0000], [0.0000, 4.1444, 0.0000], [0.0000, 0.0000, 15.2584]], "species": ["Tm", "Tm", "Np", "Np", "Te", "Te", "Te", "Te", "O", "O"], "fractional_positions": [[0.2500, 0.2500, 0.1252], [0.7500, 0.7500, 0.8748], [0.2500, 0.2500, 0.5718], [0.7500, 0.7500, 0.4282], [0.2500, 0.2500, 0.3160], [0.2500, 0.2500, 0.9118], [0.7500, 0.7500, 0.0882], [0.7500, 0.7500, 0.6840], [0.2500, 0.7500, 0.5000], [0.7500, 0.2500, 0.5000]]}

---

# 6
{"formula": "NpUTeO2", "functional": "PBE", "state": "relaxed", "mass_density_g_cm3": 10.93, "e_form_raw_ev_per_atom": -2.247, "dos_at_fermi_per_ev_atom": 1.902, "final_energy_ev_per_atom": -9.7043, "crystal_system": "tetragonal", "space_group": "No. 107", "cell": [[-1.9755, 1.9755, 6.1780], [1.9755, -1.9755, 6.1780], [1.9755, 1.9755, -6.1780]], "species": ["Np", "U", "Te", "O", "O"], "fractional_positions": [[0.0000, 0.0000, 0.0000], [0.6959, 0.6959, 0.0000], [0.3496, 0.3496, 0.0000], [0.1022, 0.6022, 0.5000], [0.6022, 0.1022, 0.5000]]}

---

# 7
{"formula": "ZrNpTe2O", "functional": "PBE", "state": "relaxed", "mass_density_g_cm3": 8.82, "e_form_raw_ev_per_atom": -1.556, "dos_at_fermi_per_ev_atom": 1.814, "final_energy_ev_per_atom": -8.1020, "crystal_system": "tetragonal", "space_group": "No. 129", "cell": [[3.9525, 0.0000, 0.0000], [0.0000, 3.9525, 0.0000], [0.0000, 0.0000, 14.4494]], "species": ["Zr", "Zr", "Np", "Np", "Te", "Te", "Te", "Te", "O", "O"], "fractional_positions": [[0.2500, 0.2500, 0.0731], [0.7500, 0.7500, 0.9269], [0.2500, 0.2500, 0.5833], [0.7500, 0.7500, 0.4167], [0.2500, 0.2500, 0.2983], [0.2500, 0.2500, 0.8655], [0.7500, 0.7500, 0.1345], [0.7500, 0.7500, 0.7017], [0.2500, 0.7500, 0.5000], [0.7500, 0.2500, 0.5000]]}

---

# 8
{"formula": "ThNp2O11", "functional": "PBE", "state": "relaxed", "mass_density_g_cm3": 6.38, "e_form_raw_ev_per_atom": -2.262, "dos_at_fermi_per_ev_atom": 0.407, "final_energy_ev_per_atom": -8.5363, "crystal_system": "triclinic", "space_group": "No. 1", "cell": [[8.3421, 0.0000, 0.0000], [-3.4778, 7.7637, 0.0000], [-3.5061, -3.1584, 7.0861]], "species": ["Th", "Th", "Np", "Np", "Np", "Np", "O", "O", "O", "O", "O", "O", "O", "O", "O", "O", "O", "O", "O", "O", "O", "O", "O", "O", "O", "O", "O", "O"], "fractional_positions": [[0.0000, 0.0000, 0.0000], [0.0014, 0.5036, 0.4998], [0.0449, 0.0277, 0.5247], [0.5004, 0.5201, 0.4827], [0.5030, 0.9766, 0.0313], [0.9281, 0.4623, 0.9602], [0.0053, 0.7850, 0.4851], [0.0490, 0.0040, 0.3006], [0.0787, 0.0632, 0.7654], [0.0841, 0.2701, 0.5614], [0.2647, 0.3091, 0.2583], [0.2702, 0.7745, 0.7966], [0.3218, 0.0233, 0.0866], [0.3263, 0.5844, 0.5305], [0.3274, 0.6705, 0.0992], [0.4579, 0.1967, 0.7068], [0.4942, 0.7155, 0.2718], [0.5621, 0.3844, 0.7163], [0.5671, 0.2166, 0.8977], [0.6629, 0.8944, 0.3253], [0.6716, 0.4643, 0.4216], [0.6808, 0.9194, 0.9797], [0.7355, 0.7502, 0.6875], [0.7371, 0.1983, 0.2487], [0.9276, 0.2346, 0.9325], [0.9329, 0.4429, 0.7350], [0.9488, 0.6984, 0.9933], [0.9720, 0.5015, 0.2055]]}